# GGA-PBE Sc5Ni, optimized geometry
# * energy of formation: -0.127 eV per atom
# * excess energy over the best structure of this formula in the dataset: 9 meV/atom
# * crystal system: tetragonal
# * mass density: 3.60 g cm⁻³
data_Sc5Ni
_chemical_formula_sum 'Sc5 Ni1'
_cell_length_a 12.4564
_cell_length_b 3.2389
_cell_length_c 3.2389
_cell_angle_alpha 90.00
_cell_angle_beta 90.00
_cell_angle_gamma 90.00
_symmetry_space_group_name_H-M 'P 1'
_symmetry_Int_Tables_number 1
_symmetry_space_group_name_Hall 'P 1'
loop_
_atom_site_label
_atom_site_fract_x
_atom_site_fract_y
_atom_site_fract_z
_atom_site_occupancy
Sc1 0.9548 0.0000 0.0000 1
Sc2 0.1480 0.5000 0.5000 1
Sc3 0.7118 0.0000 0.0000 1
Sc4 0.5187 0.5000 0.5000 1
Sc5 0.3333 0.0000 0.0000 1
Ni1 0.8333 0.5000 0.5000 1